# 1
The following is a PBE calculation of a relaxed Pm2Dy6ErSc3 crystal, from the Alexandria database.

Summary:
Volume   720.4 Å³/cell
ΔH_f (0 K)   0.54 eV/f.u.
Magnetic moment   0.0 μB/f.u.

a = 6.0626 Å, b = 10.4972 Å, c = 11.4978 Å
α = 90.00°, β = 100.11°, γ = 90.00°
Last column: nearest neighbours and their distance in Å.
Space group C2/m (No. 12)
Unique sites:
Pm  0.0000  0.1667  0.0000 (multiplicity 4)  3 Er 3.50, 3 Pm 3.50, 6 Dy 3.58
Dy  0.2457  0.5000  0.7393 (multiplicity 4)  3 Sc 3.38, 6 Dy 3.49-3.50, 1 Er 3.57, 2 Pm 3.58
Dy  0.2466  0.1664  0.7394 (multiplicity 8)  3 Sc 3.38, 6 Dy 3.49-3.50, 1 Er 3.57, 2 Pm 3.58
Er  0.0000  0.5000  0.0000 (multiplicity 2)  6 Pm 3.50, 6 Dy 3.57
Sc  0.0000  0.0000  0.5000 (multiplicity 2)  6 Dy 3.38, 6 Sc 3.50
Sc  0.0000  0.3336  0.5000 (multiplicity 4)  6 Dy 3.38, 6 Sc 3.49-3.50

# 2
The following is a PBE calculation of a relaxed Pm4DyEr2Sc crystal, from the Alexandria database.

Summary:
Volume   253.2 Å³/cell
ΔH_f (0 K)   0.23 eV/f.u.
Magnetic moment   0.0 μB/f.u.

a = 5.0595 Å, b = 5.0718 Å, c = 9.8685 Å
α = 90.00°, β = 90.00°, γ = 90.00°
Last column: nearest neighbours and their distance in Å.
Space group Pmmm (No. 47)
Unique sites:
Pm  0.0000  0.0000  0.2448 (multiplicity 2)  2 Sc 3.50, 4 Er 3.50-3.57, 2 Dy 3.57, 4 Pm 3.58
Pm  0.5000  0.5000  0.2448 (multiplicity 2)  4 Er 3.50-3.57, 2 Sc 3.50, 2 Dy 3.57, 4 Pm 3.58
Dy  0.0000  0.5000  0.5000 (multiplicity 1)  8 Pm 3.57, 4 Er 3.58
Er  0.0000  0.5000  0.0000 (multiplicity 1)  8 Pm 3.50, 4 Sc 3.58
Er  0.5000  0.0000  0.5000 (multiplicity 1)  8 Pm 3.57, 4 Dy 3.58
Sc  0.5000  0.0000  0.0000 (multiplicity 1)  8 Pm 3.50, 4 Er 3.58

# 3
The following is a PBE calculation of a relaxed PmDy2Er2Sc2 crystal, from the Alexandria database.

Summary:
Volume   425.1 Å³/cell
ΔH_f (0 K)   1.27 eV/f.u.
Magnetic moment   0.0 μB/f.u.

a = 17.1828 Å, b = 3.3843 Å, c = 8.1732 Å
α = 90.00°, β = 116.58°, γ = 90.00°
Last column: nearest neighbours and their distance in Å.
Space group C2/m (No. 12)
Unique sites:
Pm  0.0000  0.0000  0.0000 (multiplicity 2)  2 Er 3.35, 2 Pm 3.38, 4 Dy 3.49, 4 Sc 3.53
Dy  0.0726  0.5000  0.4161 (multiplicity 4)  3 Dy 3.34-3.38, 3 Er 3.39-3.45, 2 Pm 3.49, 2 Sc 3.51-3.54
Er  0.2123  0.0000  0.2911 (multiplicity 4)  3 Sc 3.30-3.39, 1 Pm 3.35, 4 Er 3.38-3.50, 3 Dy 3.39-3.45
Sc  0.1516  0.5000  0.8932 (multiplicity 4)  3 Er 3.30-3.39, 4 Sc 3.38-3.47, 2 Dy 3.51-3.54, 2 Pm 3.53

# 4
The following is a PBE calculation of a relaxed PmDyEr3Sc crystal, from the Alexandria database.

Summary:
Volume   726.2 Å³/cell
ΔH_f (0 K)   0.23 eV/f.u.
Magnetic moment   0.0 μB/f.u.

a = 4.9452 Å, b = 14.8219 Å, c = 9.9071 Å
α = 90.00°, β = 90.00°, γ = 90.00°
Last column: nearest neighbours and their distance in Å.
Space group Cmcm (No. 63)
Unique sites:
Pm  0.0000  0.0022  0.2500 (multiplicity 4)  2 Sc 3.49, 6 Er 3.49-3.55, 4 Dy 3.50
Dy  0.0000  0.5000  0.0000 (multiplicity 4)  4 Pm 3.50, 6 Er 3.51-3.53, 2 Sc 3.52
Er  0.0000  0.1681  0.0000 (multiplicity 8)  5 Er 3.45-3.50, 3 Sc 3.47-3.50, 2 Pm 3.49-3.54, 2 Dy 3.51
Er  0.0000  0.3303  0.2500 (multiplicity 4)  2 Sc 3.45, 6 Er 3.45-3.50, 2 Dy 3.53, 2 Pm 3.55
Sc  0.0000  0.3317  0.7500 (multiplicity 4)  8 Er 3.45-3.50, 2 Pm 3.49, 2 Dy 3.52

# 5
The following is a PBE calculation of a relaxed PmDy3Er6Sc2 crystal, from the Alexandria database.

Summary:
Volume   718.9 Å³/cell
ΔH_f (0 K)   0.44 eV/f.u.
Magnetic moment   0.0 μB/f.u.

a = 6.0396 Å, b = 10.4506 Å, c = 11.5646 Å
α = 90.00°, β = 99.98°, γ = 90.00°
Last column: nearest neighbours and their distance in Å.
Space group C2/m (No. 12)
Unique sites:
Pm  0.0000  0.0000  0.0000 (multiplicity 2)  6 Er 3.46, 6 Sc 3.48-3.49
Dy  0.0000  0.1672  0.5000 (multiplicity 4)  6 Dy 3.48-3.49, 6 Er 3.51-3.53
Dy  0.0000  0.5000  0.5000 (multiplicity 2)  6 Dy 3.48-3.49, 6 Er 3.51-3.53
Er  0.2465  0.5000  0.2461 (multiplicity 4)  2 Sc 3.45, 1 Pm 3.46, 6 Er 3.47-3.51, 3 Dy 3.51-3.53
Er  0.2505  0.1679  0.2462 (multiplicity 8)  2 Sc 3.45, 1 Pm 3.46, 6 Er 3.47-3.51, 3 Dy 3.51-3.53
Sc  0.0000  0.3333  0.0000 (multiplicity 4)  6 Er 3.45, 3 Pm 3.48-3.49, 3 Sc 3.48-3.49

# 6
The following is a PBE calculation of a relaxed PmDy2Er4Sc crystal, from the Alexandria database.

Summary:
Volume   1015.1 Å³/cell
ΔH_f (0 K)   3.56 eV/f.u.
Magnetic moment   2.9 μB/f.u.

a = 13.3808 Å, b = 13.0735 Å, c = 6.7027 Å
α = 90.00°, β = 120.04°, γ = 90.00°
Last column: nearest neighbours and their distance in Å.
Space group C2/c (No. 15)
Unique sites:
Pm  0.2500  0.2500  0.0000 (multiplicity 4)  6 Er 3.28-3.35, 2 Dy 3.35
Dy  0.0000  0.0000  0.0000 (multiplicity 4)  2 Dy 3.35, 6 Er 3.40-3.47
Dy  0.2500  0.2500  0.5000 (multiplicity 4)  6 Er 3.26-3.35, 2 Pm 3.35
Er  0.0000  0.2603  0.0008 (multiplicity 8)  1 Sc 3.13, 2 Er 3.34-3.36, 3 Dy 3.35-3.40, 2 Pm 3.35
Er  0.2384  0.4992  0.4864 (multiplicity 8)  2 Sc 3.22-3.24, 3 Dy 3.26-3.47, 1 Pm 3.28, 2 Er 3.35
Sc  0.0000  0.5000  0.0000 (multiplicity 4)  6 Er 3.13-3.24, 2 Sc 3.35

# 7
The following is a PBE calculation of a relaxed Pm3Dy2Er6Sc crystal, from the Alexandria database.

Summary:
Volume   745.0 Å³/cell
ΔH_f (0 K)   0.35 eV/f.u.
Magnetic moment   0.0 μB/f.u.

a = 6.1191 Å, b = 10.5928 Å, c = 11.6720 Å
α = 90.00°, β = 100.05°, γ = 90.00°
Last column: nearest neighbours and their distance in Å.
Space group C2/m (No. 12)
Unique sites:
Pm  0.0000  0.0000  0.0000 (multiplicity 2)  6 Pm 3.53, 6 Er 3.57-3.58
Pm  0.0000  0.3334  0.0000 (multiplicity 4)  6 Pm 3.53, 6 Er 3.57-3.58
Dy  0.0000  0.1664  0.5000 (multiplicity 4)  6 Er 3.48, 3 Dy 3.53, 3 Sc 3.53
Er  0.2465  0.3346  0.7448 (multiplicity 8)  1 Sc 3.47, 2 Dy 3.48, 6 Er 3.50-3.55, 3 Pm 3.57-3.58
Er  0.2502  0.0000  0.7451 (multiplicity 4)  1 Sc 3.47, 2 Dy 3.48, 6 Er 3.51-3.55, 3 Pm 3.57-3.58
Sc  0.0000  0.5000  0.5000 (multiplicity 2)  6 Er 3.47, 6 Dy 3.53

# 8
The following is a PBE calculation of a relaxed Pm4Dy2ErSc crystal, from the Alexandria database.

Summary:
Volume   254.2 Å³/cell
ΔH_f (0 K)   0.22 eV/f.u.
Magnetic moment   0.0 μB/f.u.

a = 5.0610 Å, b = 5.0748 Å, c = 9.8961 Å
α = 90.00°, β = 90.00°, γ = 90.00°
Last column: nearest neighbours and their distance in Å.
Space group Pmmm (No. 47)
Unique sites:
Pm  0.0000  0.0000  0.2453 (multiplicity 2)  2 Sc 3.51, 4 Dy 3.51-3.57, 2 Er 3.58, 4 Pm 3.58
Pm  0.5000  0.5000  0.2457 (multiplicity 2)  4 Dy 3.51-3.57, 2 Sc 3.51, 2 Er 3.57, 4 Pm 3.58
Dy  0.0000  0.5000  0.0000 (multiplicity 1)  8 Pm 3.51, 4 Sc 3.58
Dy  0.5000  0.0000  0.5000 (multiplicity 1)  8 Pm 3.57, 4 Er 3.58
Er  0.0000  0.5000  0.5000 (multiplicity 1)  8 Pm 3.57-3.58, 4 Dy 3.58
Sc  0.5000  0.0000  0.0000 (multiplicity 1)  8 Pm 3.51, 4 Dy 3.58

# 9
The following is a PBE calculation of a relaxed Pm6Dy2ErSc crystal, from the Alexandria database.

Summary:
Volume   1308.5 Å³/cell
ΔH_f (0 K)   1.27 eV/f.u.
Magnetic moment   0.0 μB/f.u.

a = 9.1919 Å, b = 15.2005 Å, c = 9.4338 Å
α = 90.00°, β = 96.91°, γ = 90.00°
Last column: nearest neighbours and their distance in Å.
Space group C2/c (No. 15)
Unique sites:
Pm  0.0562  0.1787  0.4484 (multiplicity 8)  7 Pm 3.44-3.76, 1 Dy 3.46, 2 Er 3.62-3.77
Pm  0.1002  0.3901  0.6140 (multiplicity 8)  3 Dy 3.24-3.44, 4 Pm 3.31-3.57, 2 Sc 3.35-3.47
Pm  0.2213  0.2171  0.8053 (multiplicity 8)  5 Pm 3.31-3.70, 1 Sc 3.38, 1 Dy 3.41, 1 Er 3.56
Dy  0.2468  0.4504  0.9530 (multiplicity 8)  5 Pm 3.24-3.46, 2 Er 3.38-3.44, 1 Sc 3.42
Er  0.0000  0.0249  0.7500 (multiplicity 4)  4 Dy 3.38-3.44, 6 Pm 3.56-3.77
Sc  0.0000  0.4189  0.2500 (multiplicity 4)  6 Pm 3.35-3.47, 2 Dy 3.42

# 10
The following is a PBE calculation of a relaxed PmDy2ErSe4 crystal, from the Alexandria database.

Summary:
Volume   194.5 Å³/cell
Raw formation energy   -14.0 eV per formula unit
Magnetic moment   0.0 μB/f.u.

a = 7.0725 Å, b = 4.0400 Å, c = 7.1892 Å
α = 90.00°, β = 108.77°, γ = 90.00°
Last column: nearest neighbours and their distance in Å.
Space group P2/m (No. 10)
Unique sites:
Pm  0.0000  0.0000  0.0000 (multiplicity 1)  6 Se 2.94
Dy  0.5000  0.0000  0.5000 (multiplicity 1)  6 Se 2.85-2.86
Dy  0.5000  0.5000  0.0000 (multiplicity 1)  6 Se 2.91-2.92
Er  0.0000  0.5000  0.5000 (multiplicity 1)  6 Se 2.88
Se  0.2509  0.0000  0.7435 (multiplicity 2)  3 Dy 2.86-2.91, 2 Er 2.88, 1 Pm 2.94
Se  0.2561  0.5000  0.2589 (multiplicity 2)  3 Dy 2.85-2.92, 1 Er 2.88, 2 Pm 2.94

# 11
The following is a PBE calculation of a relaxed Pm2Dy3ErSe6 crystal, from the Alexandria database.

Summary:
Volume   589.2 Å³/cell
Raw formation energy   -21.2 eV per formula unit
Magnetic moment   0.0 μB/f.u.

a = 17.9078 Å, b = 4.0899 Å, c = 8.2693 Å
α = 90.00°, β = 103.37°, γ = 90.00°
Last column: nearest neighbours and their distance in Å.
Space group C2/m (No. 12)
Unique sites:
Pm  0.1688  0.0000  0.3366 (multiplicity 4)  6 Se 2.93-3.00
Dy  0.0000  0.5000  0.5000 (multiplicity 2)  6 Se 2.84-2.93
Dy  0.1706  0.0000  0.8334 (multiplicity 4)  6 Se 2.85-2.92
Er  0.0000  0.5000  0.0000 (multiplicity 2)  6 Se 2.85-2.89
Se  0.0032  0.0000  0.7547 (multiplicity 4)  2 Er 2.89, 3 Dy 2.92-2.93, 1 Pm 3.00
Se  0.1630  0.5000  0.5894 (multiplicity 4)  3 Dy 2.84-2.85, 3 Pm 2.93-2.94
Se  0.1637  0.5000  0.0743 (multiplicity 4)  1 Er 2.85, 3 Dy 2.88-2.89, 2 Pm 2.97

# 12
The following is a PBE calculation of a relaxed PmDyEr2Se6 crystal, from the Alexandria database.

Summary:
Volume   879.7 Å³/cell
Raw formation energy   -18.5 eV per formula unit
Magnetic moment   0.0 μB/f.u.

a = 7.2304 Å, b = 7.2304 Å, c = 19.4294 Å
α = 90.00°, β = 90.00°, γ = 120.00°
Last column: nearest neighbours and their distance in Å.
Space group R3 (No. 146, hexagonal axes)
Unique sites:
Pm  0.0000  0.0000  0.0000 (multiplicity 3)  6 Se 2.91-3.00
Dy  0.0000  0.0000  0.4965 (multiplicity 3)  6 Se 2.85-2.91
Er  0.0000  0.0000  0.2997 (multiplicity 3)  6 Se 2.83-2.88
Er  0.0000  0.0000  0.8020 (multiplicity 3)  6 Se 2.82-2.88
Se  0.0068  0.3105  0.8963 (multiplicity 9)  2 Er 2.83-2.88, 1 Dy 2.85, 1 Pm 3.00
Se  0.0177  0.7086  0.3969 (multiplicity 9)  2 Er 2.82-2.88, 1 Pm 2.91, 1 Dy 2.91

The E_tot results, record by record, are as follows: -0.3683 -0.3568 -0.3620 -0.3570 -0.3562 -0.3213 -0.3480 -0.3572 -0.3479 -0.4269 -0.4287 -0.4251 Ry/atom.